Entry 1:
Here is an optimized crystal structure of Cs3CeIn2I9 from Alexandria via LeMat-Bulk. Energies are from PBE-GGA. Values from VASP.

Its space-group type is P-3m1. The total energy comes out at -0.1104 Ha/atom. The magnetization comes out at 0.6 Bohr magnetons per cell. Its raw formation energy is -1.1429 eV/atom.

```
&SYSTEM
  ibrav = 0, nat = 15, ntyp = 4
/
ATOMIC_SPECIES
Cs 132.91 Cs.upf
Ce 140.12 Ce.upf
In 114.82 In.upf
I 126.90 I.upf
ATOMIC_POSITIONS angstrom
Cs 0.000 5.219 7.782
Cs 0.000 0.000 0.000
Cs 4.520 2.610 3.329
Ce 0.000 0.000 5.556
In 0.000 5.219 1.719
In 4.520 2.610 9.392
I 6.858 1.259 7.345
I 4.520 5.310 7.345
I 2.181 1.259 7.345
I 2.338 6.569 3.767
I 0.000 2.519 3.767
I -2.338 6.569 3.767
I 4.520 0.000 0.000
I -2.260 3.914 0.000
I 2.260 3.914 0.000
CELL_PARAMETERS angstrom
9.040 0.000 0.000
-4.520 7.829 0.000
0.000 0.000 11.111
```

Entry 2:
Here is an optimized crystal structure of CsCeIn2I6 from Alexandria via LeMat-Bulk. Energies are from PBE-GGA. Values from VASP.

Its space-group type is R3. The total energy comes out at -0.1174 Ha/atom. The magnetization comes out at 1.0 Bohr magnetons per cell. Its raw formation energy is -1.0368 eV/atom.

```
&SYSTEM
  ibrav = 0, nat = 10, ntyp = 4
/
ATOMIC_SPECIES
Cs 132.91 Cs.upf
Ce 140.12 Ce.upf
In 114.82 In.upf
I 126.90 I.upf
ATOMIC_POSITIONS angstrom
Cs -2.520 -6.840 14.106
Ce -0.865 -3.259 3.798
In -1.671 -4.198 9.739
In -0.722 2.311 8.942
I -2.616 -3.351 6.413
I 1.368 -5.939 9.105
I -3.858 -6.942 10.337
I -0.423 -3.846 12.974
I -4.075 -2.325 11.430
I -0.373 -0.965 9.854
CELL_PARAMETERS angstrom
-5.632 -4.501 5.032
3.027 -5.641 6.025
-0.720 2.378 9.004
```

Entry 3:
Here is an optimized crystal structure of CsLi4Ce3I12 from Alexandria via LeMat-Bulk. Energies are from PBE-GGA. Values from VASP.

Its space-group type is R32. The total energy comes out at -0.1270 Ha/atom. The magnetization comes out at 5.0 Bohr magnetons per cell. Its raw formation energy is -1.2096 eV/atom.

```
&SYSTEM
  ibrav = 0, nat = 20, ntyp = 4
/
ATOMIC_SPECIES
Cs 132.91 Cs.upf
Li 6.94 Li.upf
Ce 140.12 Ce.upf
I 126.90 I.upf
ATOMIC_POSITIONS angstrom
Cs 0.000 0.000 0.000
Li -1.842 4.657 7.488
Li 3.026 -6.460 5.501
Li -8.122 -3.748 1.072
Li -2.312 -1.850 4.687
Ce -5.931 1.085 1.874
Ce 1.989 1.272 5.856
Ce -0.683 -6.058 1.644
I -0.129 -1.137 6.045
I -7.759 2.853 3.856
I -2.792 -8.489 1.829
I 3.614 0.086 8.375
I -6.266 -5.693 1.283
I 3.428 -4.080 6.703
I -4.166 4.168 6.212
I -8.168 -1.212 1.986
I 0.962 -7.405 4.046
I 0.336 3.120 7.891
I -4.319 -0.118 4.381
I -2.489 -4.296 3.634
CELL_PARAMETERS angstrom
-5.453 7.698 4.721
-6.587 -7.986 -2.030
7.414 -3.413 6.683
```

Entry 4:
Here is an optimized crystal structure of CsLiCe2I8 from Alexandria via LeMat-Bulk. Energies are from PBE-GGA. Values from VASP.

Its space-group type is P-3. The total energy comes out at -0.1315 Ha/atom. The magnetization comes out at 2.0 Bohr magnetons per cell. Its raw formation energy is -1.3255 eV/atom.

```
&SYSTEM
  ibrav = 0, nat = 12, ntyp = 4
/
ATOMIC_SPECIES
Cs 132.91 Cs.upf
Li 6.94 Li.upf
Ce 140.12 Ce.upf
I 126.90 I.upf
ATOMIC_POSITIONS angstrom
Cs -2.617 -0.436 4.013
Li 0.000 0.000 0.000
Ce -4.350 -0.271 -1.809
Ce -6.351 -4.883 5.804
I -9.698 -2.441 3.136
I -6.397 -1.705 5.369
I -8.755 1.364 4.165
I -1.002 -2.713 0.858
I -4.303 -3.450 -1.375
I -1.945 -6.518 -0.171
I -6.014 -0.549 0.743
I -4.686 -4.606 3.251
CELL_PARAMETERS angstrom
-6.144 3.708 -3.603
0.676 -7.989 -0.428
-5.233 -0.873 8.025
```